Density functional theory data (PBE) for an optimized crystal structure of Ac6AlHg2.

## Properties
As for the energy of formation from the pure elements: -1.88 eV per formula unit. The calculation puts the mass density at 8.8 g/cm3.

abc: 9.584 9.584 9.584
angles: 107.69 110.21 110.53
Sites, in units of the cell vectors:
Ac 0.091 0.267 0.824
Ac 0.809 0.750 0.559
Ac 0.282 0.612 0.330
Ac 0.282 0.953 0.670
Ac 0.718 0.047 0.330
Ac 0.718 0.388 0.670
Ac 0.191 0.250 0.441
Ac 0.191 0.750 0.941
Ac 0.558 0.733 0.824
Ac 0.909 0.733 0.176
Ac 0.442 0.267 0.176
Ac 0.809 0.250 0.059
Hg 0.348 0.000 0.348
Hg 0.500 0.368 0.868
Hg 0.652 0.000 0.652
Hg 0.500 0.632 0.132
Al 0.000 0.500 0.500
Al 0.000 0.000 0.000